one.
Density functional theory data (PBE) for a relaxed KBaCd2 crystal.

abc: 7.7145 7.7145 7.7145
angles: 104.33 104.33 120.34
Last column: nearest neighbours and their distance in Å.
Fractional positions:
K (0.0000, 0.0000, 0.0000)  4 Cd 3.44, 2 Ba 3.84
K (0.7500, 0.2500, 0.5000)  4 Cd 3.44, 2 Ba 3.84
Ba (0.2500, 0.7500, 0.5000)  4 Cd 3.52, 2 K 3.84
Ba (0.5000, 0.5000, 0.0000)  4 Cd 3.52, 2 K 3.84
Cd (0.1185, 0.6250, 0.9935)  2 K 3.44, 2 Ba 3.52, 2 Cd 3.84
Cd (0.3750, 0.3685, 0.4935)  2 K 3.44, 2 Ba 3.52, 2 Cd 3.84
Cd (0.6315, 0.1250, 0.0065)  2 K 3.44, 2 Ba 3.52, 2 Cd 3.84
Cd (0.8750, 0.8815, 0.5065)  2 K 3.44, 2 Ba 3.52, 2 Cd 3.84

SG: I-42d (122)
Volume: 344 Å³/cell
Spin magnetization: 0.0 Bohr magnetons per cell


two.
Density functional theory data (PBE) for a relaxed KBaCd2 crystal.

abc: 5.9816 4.0666 7.1545
angles: 90.00 90.51 90.00
Last column: nearest neighbours and their distance in Å.
Fractional positions:
K (0.0000, 0.0000, 0.0000)  6 Cd 3.58-3.62
Ba (0.5000, 0.5000, 0.5000)  6 Cd 3.58-3.62
Cd (0.0000, 0.0000, 0.5000)  2 K 3.58, 4 Ba 3.62
Cd (0.5000, 0.5000, 0.0000)  2 Ba 3.58, 4 K 3.62

SG: P2/m (10)
Volume: 174 Å³/cell
Spin magnetization: 0.0 Bohr magnetons per cell


Of them, the most stable is two and the least stable is one.


one.
Density functional theory data (PBE) for a relaxed K3BaCd crystal.

abc: 8.4366 8.4366 8.4366
angles: 90.00 90.00 90.00
Last column: nearest neighbours and their distance in Å.
Fractional positions:
K (0.0000, 0.0000, 0.5000)  2 Ba 4.22
K (0.0000, 0.5000, 0.0000)  2 Ba 4.22
K (0.5000, 0.0000, 0.0000)  2 Ba 4.22
Ba (0.0000, 0.0000, 0.0000)  6 K 4.22
Cd (0.5000, 0.5000, 0.5000)  12 K 5.97

SG: Pm-3m (221)
Volume: 600 Å³/cell
Spin magnetization: 1.0 Bohr magnetons per cell


two.
Density functional theory data (PBE) for a relaxed K3BaCd crystal.

abc: 6.8537 6.8537 6.8537
angles: 90.00 90.00 90.00
Last column: nearest neighbours and their distance in Å.
Fractional positions:
K (0.0000, 0.0000, 0.5000)  2 Cd 3.43
K (0.0000, 0.5000, 0.0000)  2 Cd 3.43
K (0.5000, 0.0000, 0.0000)  2 Cd 3.43
Ba (0.5000, 0.5000, 0.5000)  12 K 4.85
Cd (0.0000, 0.0000, 0.0000)  6 K 3.43

SG: Pm-3m (221)
Volume: 322 Å³/cell
Spin magnetization: 0.0 Bohr magnetons per cell


Of them, the most stable is two and the least stable is one.


one.
Density functional theory data (PBE) for a relaxed KBa3Cd crystal.

abc: 6.8583 6.8583 6.8583
angles: 90.00 90.00 90.00
Last column: nearest neighbours and their distance in Å.
Fractional positions:
K (0.0000, 0.0000, 0.0000)  12 Ba 4.85
Ba (0.0000, 0.5000, 0.5000)  2 Cd 3.43
Ba (0.5000, 0.0000, 0.5000)  2 Cd 3.43
Ba (0.5000, 0.5000, 0.0000)  2 Cd 3.43
Cd (0.5000, 0.5000, 0.5000)  6 Ba 3.43

SG: Pm-3m (221)
Volume: 323 Å³/cell
Spin magnetization: 0.0 Bohr magnetons per cell


two.
Density functional theory data (PBE) for a relaxed KBa3Cd crystal.

abc: 6.9349 6.9349 6.9349
angles: 90.00 90.00 90.00
Last column: nearest neighbours and their distance in Å.
Fractional positions:
K (0.0000, 0.0000, 0.0000)  6 Ba 3.47
Ba (0.0000, 0.0000, 0.5000)  2 K 3.47
Ba (0.0000, 0.5000, 0.0000)  2 K 3.47
Ba (0.5000, 0.0000, 0.0000)  2 K 3.47
Cd (0.5000, 0.5000, 0.5000)  12 Ba 4.90

SG: Pm-3m (221)
Volume: 334 Å³/cell
Spin magnetization: 2.7 Bohr magnetons per cell


Of them, the most stable is one and the least stable is two.